The following is a PBE-GGA calculation of crystalline SrTcHg2 at its relaxed geometry, from Alexandria.

Cell: 5.1875 5.1875 5.1875 Å, 60.00 60.00 60.00°
Closest atoms and distances in Å follow each position.
Atoms (fractional coordinates):
Sr1 0.0000 0.0000 0.0000  4 Hg 3.18, 4 Tc 3.18
Tc1 0.2500 0.2500 0.2500  4 Hg 3.18, 4 Sr 3.18
Hg1 0.5000 0.5000 0.5000  4 Hg 3.18, 4 Tc 3.18
Hg2 0.7500 0.7500 0.7500  4 Hg 3.18, 4 Sr 3.18

Values from the calculation:
E_tot = -10.36 eV per formula unit
formation energy from the elements = 2.291 eV per formula unit
offset from the most stable computed form = 281 meV/atom
D(E_F) = 1.602 states/eV per atom